# 1
Crystalline Cs2Ge2Pt at its relaxed geometry, computed with PBE.

```
data_Cs2Ge2Pt
_symmetry_space_group_name_H-M 'P 4/m b m'
_symmetry_Int_Tables_number 127
_symmetry_space_group_name_Hall '-P 4 2ab'
_cell_length_a 6.795
_cell_length_b 6.795
_cell_length_c 6.161
_cell_angle_alpha 90.00
_cell_angle_beta 90.00
_cell_angle_gamma 90.00
loop_
_atom_site_label
_atom_site_type_symbol
_atom_site_fract_x
_atom_site_fract_y
_atom_site_fract_z
Cs1 Cs 0.192 0.308 0.000
Ge1 Ge 0.131 0.631 0.500
Pt1 Pt 0.000 0.000 0.500
```

**Crystal system**: tetragonal
**Distance to the lowest polymorph of the same formula**: 146.2 meV/atom
**Volume**: 284.5 Å³/cell
**ΔE_f**: -0.061 eV/atom
**Density of states at the Fermi level**: 0.06 states/eV per atom


# 2
Crystalline LaNi2Mo at its relaxed geometry, computed with PBE.

```
data_LaNi2Mo
_symmetry_space_group_name_H-M 'P 1 m 1'
_symmetry_Int_Tables_number 6
_cell_length_a 3.350
_cell_length_b 4.183
_cell_length_c 5.233
_cell_angle_alpha 90.00
_cell_angle_beta 102.12
_cell_angle_gamma 90.00
loop_
_symmetry_equiv_pos_as_xyz
'x,y,z'
'x,-y,z'
loop_
_atom_site_label
_atom_site_type_symbol
_atom_site_fract_x
_atom_site_fract_y
_atom_site_fract_z
La1 La 0.000 0.000 0.000
Ni1 Ni 0.409 0.500 0.790
Ni2 Ni 0.417 0.000 0.509
Mo1 Mo 0.752 0.500 0.425
```

**Crystal system**: monoclinic
**Distance to the lowest polymorph of the same formula**: 224.8 meV/atom
**Volume**: 71.7 Å³/cell
**ΔE_f**: 0.166 eV/atom
**Density of states at the Fermi level**: 1.18 states/eV per atom


# 3
Crystalline BaMnPt2 at its relaxed geometry, computed with PBE.

```
data_BaMnPt2
_symmetry_space_group_name_H-M 'C m m m'
_symmetry_Int_Tables_number 65
_symmetry_space_group_name_Hall '-C 2 2'
_cell_length_a 6.312
_cell_length_b 7.457
_cell_length_c 3.694
_cell_angle_alpha 90.00
_cell_angle_beta 90.00
_cell_angle_gamma 90.00
loop_
_atom_site_label
_atom_site_type_symbol
_atom_site_fract_x
_atom_site_fract_y
_atom_site_fract_z
Ba1 Ba 0.000 0.000 0.000
Mn1 Mn 0.000 0.500 0.000
Pt1 Pt 0.250 0.250 0.500
```

**Crystal system**: orthorhombic
**Volume**: 173.9 Å³/cell
**ΔE_f**: -0.005 eV/atom
**Density of states at the Fermi level**: 0.34 states/eV per atom


# 4
Crystalline Nd2TmO at its relaxed geometry, computed with PBE.

```
data_Nd2TmO
_symmetry_space_group_name_H-M 'P 4/m m m'
_symmetry_Int_Tables_number 123
_symmetry_space_group_name_Hall '-P 4 2'
_cell_length_a 3.256
_cell_length_b 3.256
_cell_length_c 9.033
_cell_angle_alpha 90.00
_cell_angle_beta 90.00
_cell_angle_gamma 90.00
loop_
_atom_site_label
_atom_site_type_symbol
_atom_site_fract_x
_atom_site_fract_y
_atom_site_fract_z
Nd1 Nd 0.000 0.000 0.173
Tm1 Tm 0.500 0.500 0.500
O1 O 0.500 0.500 0.000
```

**Crystal system**: tetragonal
**Distance to the lowest polymorph of the same formula**: 301.8 meV/atom
**Volume**: 95.8 Å³/cell
**Density of states at the Fermi level**: 1.27 states/eV per atom


Question: volume of number 4 (Nd2TmO)?
Answer: 95.8 Å³/cell